The following is a PBEsol calculation of a geometry-optimized RePt2Cl structure, from the Alexandria database.

Computed properties:
**Raw total energy**: -7.140 eV per atom
**ΔE_f (raw)**: 176 meV per atom
**Polymorph energy (0 for the lowest one)**: 106.5 meV per atom

Geometry as CIF:
```
data_RePt2Cl
_symmetry_space_group_name_H-M 'P 4/m m m'
_symmetry_Int_Tables_number 123
_symmetry_space_group_name_Hall '-P 4 2'
_cell_length_a 2.823
_cell_length_b 2.823
_cell_length_c 7.773
_cell_angle_alpha 90.00
_cell_angle_beta 90.00
_cell_angle_gamma 90.00
loop_
_atom_site_label
_atom_site_type_symbol
_atom_site_fract_x
_atom_site_fract_y
_atom_site_fract_z
Re1 Re 0.000 0.000 0.000
Pt1 Pt 0.500 0.500 0.231
Cl1 Cl 0.000 0.000 0.500
```